No. 1
## CsCoPtF6 (PBE with a Hubbard U)

Data for an optimized crystal structure of CsCoPtF6.

The structure in POSCAR format:
```
CsCoPtF6
1.0
5.5598 0.0000 0.0000
-2.6346 4.9231 0.0000
-0.0639 -0.0648 6.4753
Cs Co Pt F
1 1 1 6
direct
0.0000 0.0000 0.0000
0.3337 0.6677 0.5005
0.6709 0.3292 0.5000
0.0386 0.6342 0.3089
0.3663 0.3479 0.3431
0.3686 0.9610 0.6920
0.6426 0.0058 0.3404
0.6546 0.6331 0.6565
0.9965 0.3568 0.6597
```

Calculated values
E ... -40.1 eV/f.u.
Symmetry ... P1 (1)

No. 2
## CsRb3Co2F8 (PBE with a Hubbard U)

Data for an optimized crystal structure of CsRb3Co2F8.

The structure in POSCAR format:
```
CsRb3Co2F8
1.0
6.3610 0.0000 0.0000
-3.1805 5.5088 0.0000
0.0000 0.0000 9.3671
Cs Rb Co F
1 3 2 8
direct
0.0000 0.0000 0.0000
0.0000 0.0000 0.5000
0.3333 0.6667 0.2137
0.6667 0.3333 0.7863
0.3333 0.6667 0.6882
0.6667 0.3333 0.3118
0.1714 0.3428 0.7677
0.1714 0.8286 0.7677
0.3333 0.6667 0.4849
0.3428 0.1714 0.2323
0.6572 0.8286 0.7677
0.6667 0.3333 0.5151
0.8286 0.1714 0.2323
0.8286 0.6572 0.2323
```

Calculated values
E ... -62.8 eV/f.u.
Symmetry ... P-3m1 (164)

No. 3
## CsRbCoF6 (PBE with a Hubbard U)

Data for an optimized crystal structure of CsRbCoF6.

The structure in POSCAR format:
```
CsRbCoF6
1.0
6.4505 0.0000 0.0000
-3.2253 5.5863 0.0000
0.0000 0.0000 5.4249
Cs Rb Co F
1 1 1 6
direct
0.0000 0.0000 0.0000
0.6667 0.3333 0.5000
0.3333 0.6667 0.5000
0.1029 0.4340 0.3087
0.1029 0.6688 0.6913
0.3312 0.4340 0.6913
0.3312 0.8971 0.3087
0.5660 0.6688 0.3087
0.5660 0.8971 0.6913
```

Calculated values
E ... -38.2 eV/f.u.
Symmetry ... P312 (149)